a:
{
  "formula": "SrMo3",
  "functional": "GGA-PBEsol",
  "state": "optimized geometry",
  "dos_ef_per_ev_cell": 4.31,
  "space_group": "No. 187",
  "lattice": [[3.1433, 0.0000, 0.0000], [-1.5717, 2.7222, 0.0000], [0.0000, 0.0000, 9.1267]],
  "species": ["Sr", "Mo", "Mo", "Mo"],
  "frac_coords": [[0.0000, 0.0000, 0.0000], [0.0000, 0.0000, 0.5000], [0.6667, 0.3333, 0.2992], [0.6667, 0.3333, 0.7008]]
}

***

b:
{
  "formula": "SrMo3",
  "functional": "GGA-PBEsol",
  "state": "optimized geometry",
  "dos_ef_per_ev_cell": 4.36,
  "space_group": "No. 166",
  "lattice": [[4.7865, 2.7635, 0.8971], [-4.7865, 2.7635, 0.8971], [0.0000, -5.5270, 0.8971]],
  "species": ["Sr", "Mo", "Mo", "Mo"],
  "frac_coords": [[0.0000, 0.0000, 0.0000], [0.0000, 0.5000, 0.5000], [0.5000, 0.0000, 0.5000], [0.5000, 0.5000, 0.0000]]
}

***

a comes first in stability; the runner-up is 88 meV per atom higher.

***

a:
{
  "formula": "SrMo",
  "functional": "GGA-PBEsol",
  "state": "optimized geometry",
  "dos_ef_per_ev_cell": 2.68,
  "space_group": "No. 166",
  "lattice": [[2.7917, 1.6118, 3.7738], [-2.7917, 1.6118, 3.7738], [0.0000, -3.2235, 3.7738]],
  "species": ["Sr", "Sr", "Mo", "Mo"],
  "frac_coords": [[0.1407, 0.1407, 0.1407], [0.8593, 0.8593, 0.8593], [0.4065, 0.4065, 0.4065], [0.5935, 0.5935, 0.5935]]
}

***

b:
{
  "formula": "SrMo",
  "functional": "GGA-PBEsol",
  "state": "optimized geometry",
  "dos_ef_per_ev_cell": 4.73,
  "space_group": "No. 166",
  "lattice": [[1.7190, 0.9925, 10.5084], [-1.7190, 0.9925, 10.5084], [0.0000, -1.9849, 10.5084]],
  "species": ["Sr", "Sr", "Mo", "Mo"],
  "frac_coords": [[0.1077, 0.1077, 0.1077], [0.8923, 0.8923, 0.8923], [0.3571, 0.3571, 0.3571], [0.6429, 0.6429, 0.6429]]
}

***

c:
{
  "formula": "SrMo",
  "functional": "GGA-PBEsol",
  "state": "optimized geometry",
  "dos_ef_per_ev_cell": 2.49,
  "space_group": "No. 74",
  "lattice": [[-1.7458, 2.8444, 5.3426], [1.7458, -2.8444, 5.3426], [1.7458, 2.8444, -5.3426]],
  "species": ["Sr", "Sr", "Mo", "Mo"],
  "frac_coords": [[0.3514, 0.1014, 0.2500], [0.6486, 0.8986, 0.7500], [0.0729, 0.3229, 0.7500], [0.9271, 0.6771, 0.2500]]
}

***

c comes first in stability; the runner-up is 119 meV per atom higher.

***

a:
{
  "formula": "SrMo2",
  "functional": "GGA-PBEsol",
  "state": "optimized geometry",
  "dos_ef_per_ev_cell": 3.95,
  "space_group": "No. 139",
  "lattice": [[-1.6363, 1.6363, 6.0322], [1.6363, -1.6363, 6.0322], [1.6363, 1.6363, -6.0322]],
  "species": ["Sr", "Mo", "Mo"],
  "frac_coords": [[0.0000, 0.0000, 0.0000], [0.2963, 0.2963, 0.0000], [0.7037, 0.7037, 0.0000]]
}

***

b:
{
  "formula": "SrMo2",
  "functional": "GGA-PBEsol",
  "state": "optimized geometry",
  "dos_ef_per_ev_cell": 2.87,
  "space_group": "No. 191",
  "lattice": [[4.0637, 0.0000, 0.0000], [-2.0319, 3.5193, 0.0000], [0.0000, 0.0000, 5.3305]],
  "species": ["Sr", "Mo", "Mo"],
  "frac_coords": [[0.0000, 0.0000, 0.0000], [0.3333, 0.6667, 0.5000], [0.6667, 0.3333, 0.5000]]
}

***

a comes first in stability; the runner-up is 188 meV per atom higher.

***

a:
{
  "formula": "SrTe2Mo",
  "functional": "GGA-PBEsol",
  "state": "optimized geometry",
  "dos_ef_per_ev_cell": 0.40,
  "space_group": "No. 225",
  "lattice": [[0.0000, 3.5778, 3.5778], [3.5778, 0.0000, 3.5778], [3.5778, 3.5778, 0.0000]],
  "species": ["Sr", "Te", "Te", "Mo"],
  "frac_coords": [[0.0000, 0.0000, 0.0000], [0.2500, 0.2500, 0.2500], [0.7500, 0.7500, 0.7500], [0.5000, 0.5000, 0.5000]]
}

***

b:
{
  "formula": "SrTe2Mo",
  "functional": "GGA-PBEsol",
  "state": "optimized geometry",
  "dos_ef_per_ev_cell": 1.51,
  "space_group": "No. 166",
  "lattice": [[2.1419, 1.2366, 6.7819], [-2.1419, 1.2366, 6.7819], [0.0000, -2.4732, 6.7819]],
  "species": ["Sr", "Te", "Te", "Mo"],
  "frac_coords": [[0.0000, 0.0000, 0.0000], [0.2325, 0.2325, 0.2325], [0.7675, 0.7675, 0.7675], [0.5000, 0.5000, 0.5000]]
}

***

c:
{
  "formula": "SrTe2Mo",
  "functional": "GGA-PBEsol",
  "state": "optimized geometry",
  "dos_ef_per_ev_cell": 2.15,
  "space_group": "No. 44",
  "lattice": [[-1.7930, 1.9343, 7.4141], [1.7930, -1.9343, 7.4141], [1.7930, 1.9343, -7.4141]],
  "species": ["Sr", "Te", "Te", "Mo"],
  "frac_coords": [[0.0000, 0.0000, 0.0000], [0.3288, 0.8288, 0.5000], [0.6199, 0.6199, 0.0000], [0.7562, 0.2562, 0.5000]]
}

***

d:
{
  "formula": "SrTe2Mo",
  "functional": "GGA-PBEsol",
  "state": "optimized geometry",
  "dos_ef_per_ev_cell": 2.23,
  "space_group": "No. 12",
  "lattice": [[3.9800, -1.9130, 0.0000], [3.9800, 1.9130, 0.0000], [-1.7893, 0.0000, 6.7866]],
  "species": ["Sr", "Te", "Te", "Mo"],
  "frac_coords": [[0.0000, 0.0000, 0.0000], [0.2375, 0.2375, 0.6936], [0.7625, 0.7625, 0.3064], [0.5000, 0.5000, 0.5000]]
}

***

b comes first in stability; the runner-up is 30 meV per atom higher.